1.
Li2Hg5Pd: relaxed, PBE. Values from VASP.

Cell and atoms, written as Quantum ESPRESSO input:
```
&SYSTEM
  ibrav = 0, nat = 16, ntyp = 3
/
ATOMIC_SPECIES
Li 6.94 Li.upf
Hg 200.59 Hg.upf
Pd 106.42 Pd.upf
CELL_PARAMETERS angstrom
6.135 0.000 0.000
0.000 12.230 0.000
0.000 0.000 4.300
ATOMIC_POSITIONS angstrom
Li 1.458 1.483 0.000
Li 1.610 7.598 0.000
Li 4.525 4.632 0.000
Li 4.677 10.747 0.000
Hg 0.000 0.000 2.150
Hg 0.280 9.039 2.150
Hg 1.346 4.729 0.000
Hg 1.721 10.844 0.000
Hg 2.787 2.924 2.150
Hg 3.068 6.115 2.150
Hg 3.348 9.306 2.150
Hg 4.414 1.385 0.000
Hg 4.789 7.500 0.000
Hg 5.855 3.191 2.150
Pd 0.000 6.115 2.150
Pd 3.068 0.000 2.150
```

Its total energy is -24.51 eV per cell. The formation energy is -0.216 eV per atom. The calculation puts the density of states at the Fermi level at 4.10 states/eV/cell.

=====

2.
Er5Mg2Ge4: relaxed, PBE. Values from VASP.

Cell and atoms, written as Quantum ESPRESSO input:
```
&SYSTEM
  ibrav = 0, nat = 11, ntyp = 3
/
ATOMIC_SPECIES
Er 167.26 Er.upf
Mg 24.30 Mg.upf
Ge 72.64 Ge.upf
CELL_PARAMETERS angstrom
10.002 -2.060 0.000
10.002 2.060 0.000
-2.555 0.000 6.684
ATOMIC_POSITIONS angstrom
Er 0.000 0.000 0.000
Er 6.539 0.000 0.499
Er 5.202 0.000 3.997
Er 12.246 0.000 2.687
Er 10.909 0.000 6.185
Mg -0.004 0.000 3.833
Mg 17.452 0.000 2.851
Ge 2.415 0.000 4.757
Ge 9.244 0.000 1.983
Ge 8.204 0.000 4.701
Ge 15.033 0.000 1.927
```

Its total energy is -49.17 eV per cell. The formation energy is -0.427 eV per atom. The calculation puts the density of states at the Fermi level at 9.55 states/eV/cell.

=====

3.
RbMgNb2In: relaxed, PBE. Values from VASP.

Cell and atoms, written as Quantum ESPRESSO input:
```
&SYSTEM
  ibrav = 0, nat = 5, ntyp = 4
/
ATOMIC_SPECIES
Rb 85.47 Rb.upf
Mg 24.30 Mg.upf
Nb 92.91 Nb.upf
In 114.82 In.upf
CELL_PARAMETERS angstrom
5.555 0.000 0.000
0.000 5.555 0.000
0.000 0.000 6.066
ATOMIC_POSITIONS angstrom
Rb 0.000 0.000 0.000
Mg 2.778 2.778 0.000
Nb 0.000 2.778 3.033
Nb 2.778 0.000 3.033
In 0.000 0.000 3.033
```

Its total energy is -17.13 eV per cell. The formation energy is 1.661 eV per atom. The calculation puts the density of states at the Fermi level at 6.46 states/eV/cell.

=====

4.
Li3B4C4: relaxed, PBE. Values from VASP.

Cell and atoms, written as Quantum ESPRESSO input:
```
&SYSTEM
  ibrav = 0, nat = 11, ntyp = 3
/
ATOMIC_SPECIES
Li 6.94 Li.upf
B 10.81 B.upf
C 12.01 C.upf
CELL_PARAMETERS angstrom
4.723 0.000 0.000
0.000 2.728 0.000
-0.079 0.000 7.169
ATOMIC_POSITIONS angstrom
Li 0.000 0.000 0.000
Li -0.039 0.000 3.585
Li 2.362 1.364 0.000
B 0.711 1.364 5.418
B 1.589 0.000 1.804
B 3.056 0.000 5.365
B 3.933 1.364 1.752
C 0.793 1.364 1.779
C 1.486 0.000 5.447
C 3.158 0.000 1.723
C 3.852 1.364 5.391
```

Its total energy is -71.86 eV per cell. The formation energy is -0.228 eV per atom. Its energy above the lowest structure with this stoichiometry is 0.013 eV per atom. The calculation puts the density of states at the Fermi level at 2.36 states/eV/cell.

=====

5.
Dy2Tm6Th: relaxed, PBE. Values from VASP.

Cell and atoms, written as Quantum ESPRESSO input:
```
&SYSTEM
  ibrav = 0, nat = 9, ntyp = 3
/
ATOMIC_SPECIES
Dy 162.50 Dy.upf
Tm 168.93 Tm.upf
Th 232.04 Th.upf
CELL_PARAMETERS angstrom
3.545 0.000 0.000
-1.773 3.070 0.000
0.000 0.000 25.828
ATOMIC_POSITIONS angstrom
Dy 0.000 0.000 4.447
Dy 0.000 0.000 21.381
Tm 0.000 0.000 10.041
Tm 0.000 0.000 15.787
Tm 1.773 1.023 1.669
Tm 1.773 1.023 7.271
Tm 1.773 1.023 18.557
Tm 1.773 1.023 24.159
Th 1.773 1.023 12.914
```

Its total energy is -42.91 eV per cell. The formation energy is 0.060 eV per atom. Its energy above the lowest structure with this stoichiometry is 0.000 eV per atom. The calculation puts the density of states at the Fermi level at 16.72 states/eV/cell.

=====

6.
NaBr: relaxed, PBE. Values from VASP.

Cell and atoms, written as Quantum ESPRESSO input:
```
&SYSTEM
  ibrav = 0, nat = 12, ntyp = 2
/
ATOMIC_SPECIES
Na 22.99 Na.upf
Br 79.90 Br.upf
CELL_PARAMETERS angstrom
11.131 0.000 0.000
-5.566 9.640 0.000
0.000 0.000 4.907
ATOMIC_POSITIONS angstrom
Na -1.488 3.965 1.227
Na -1.388 8.946 1.227
Na 2.690 3.271 3.680
Na 2.876 6.369 1.227
Na 6.954 0.694 3.680
Na 7.054 5.675 3.680
Br -2.872 6.535 1.227
Br 1.342 3.885 1.227
Br 4.036 0.780 3.680
Br 1.530 8.860 1.227
Br 4.223 5.755 3.680
Br 8.438 3.105 3.680
```

Its uncorrected formation energy is -1.486 eV/atom. Its total energy is -35.79 eV per cell. The calculation puts the density of states at the Fermi level at 0.00 states/eV/cell.

=====

7.
GeTeIrI2: relaxed, PBE. Values from VASP.

Cell and atoms, written as Quantum ESPRESSO input:
```
&SYSTEM
  ibrav = 0, nat = 5, ntyp = 4
/
ATOMIC_SPECIES
Ge 72.64 Ge.upf
Te 127.60 Te.upf
Ir 192.22 Ir.upf
I 126.90 I.upf
CELL_PARAMETERS angstrom
5.429 0.000 0.000
0.000 5.429 0.000
0.000 0.000 5.208
ATOMIC_POSITIONS angstrom
Ge 0.000 0.000 0.000
Te 2.715 2.715 0.000
Ir 2.715 2.715 2.604
I 0.000 2.715 2.604
I 2.715 0.000 2.604
```

Its uncorrected formation energy is 0.564 eV/atom. Its total energy is -16.90 eV per cell. Its energy above the lowest structure with this stoichiometry is 0.000 eV per atom. The calculation puts the density of states at the Fermi level at 3.66 states/eV/cell.

=====

8.
BaAg3Hg: relaxed, PBE. Values from VASP.

Cell and atoms, written as Quantum ESPRESSO input:
```
&SYSTEM
  ibrav = 0, nat = 10, ntyp = 3
/
ATOMIC_SPECIES
Ba 137.33 Ba.upf
Ag 107.87 Ag.upf
Hg 200.59 Hg.upf
CELL_PARAMETERS angstrom
-2.790 5.028 5.006
2.790 -5.028 5.006
2.790 5.028 -5.006
ATOMIC_POSITIONS angstrom
Ba 0.000 2.514 0.413
Ba 2.790 2.514 4.593
Ag 2.790 2.514 -1.807
Ag 1.395 4.936 -2.503
Ag 1.395 -0.092 2.503
Ag -1.395 5.120 2.503
Ag 1.395 5.120 2.503
Ag 0.000 2.514 6.812
Hg 2.790 0.000 0.000
Hg 0.000 0.000 5.006
```

Its total energy is -23.13 eV per cell. The formation energy is -0.158 eV per atom. Its energy above the lowest structure with this stoichiometry is 0.030 eV per atom. The calculation puts the density of states at the Fermi level at 5.24 states/eV/cell.

=====

Number 6 is which compound?
NaBr